*w*
YTlF2: optimized geometry, PBE.

Cell and atoms, written as extended XYZ:
```
4
Lattice="0.0000 3.3008 3.3008 3.3008 0.0000 3.3008 3.3008 3.3008 0.0000" Properties=species:S:1:pos:R:3 pbc="T T T"
Y 0.0000 0.0000 0.0000
Tl 3.3008 3.3008 3.3008
F 1.6504 1.6504 1.6504
F 4.9511 4.9511 4.9511
```

Values from the calculation:
Fermi-level density of states: 3.22 states/eV/f.u.

=====

*x*
YTlF2: optimized geometry, PBE.

Cell and atoms, written as extended XYZ:
```
4
Lattice="1.7171 0.9914 9.2997 -1.7171 0.9914 9.2997 0.0000 -1.9827 9.2997" Properties=species:S:1:pos:R:3 pbc="T T T"
Y 0.0000 0.0000 0.0000
Tl 0.0000 0.0000 13.9496
F 0.0000 0.0000 10.5544
F 0.0000 0.0000 17.3447
```

Values from the calculation:
Fermi-level density of states: 3.08 states/eV/f.u.

=====

The data favor *x*; the next most stable structure lies 0.557 eV/atom above it.

=====

*w*
YTlF2: optimized geometry, PBE.

Cell and atoms, written as extended XYZ:
```
8
Lattice="-2.7605 2.7605 6.5998 2.7605 -2.7605 6.5998 2.7605 2.7605 -6.5998" Properties=species:S:1:pos:R:3 pbc="T T T"
Y 0.0000 0.0000 0.0000
Y 0.0000 2.7605 3.2999
Tl 2.7605 0.0000 3.2999
Tl 0.0000 0.0000 6.5998
F -0.0533 1.3803 1.6500
F 1.3803 2.7072 4.9499
F 0.0533 4.1408 1.6500
F -1.3803 2.8138 4.9499
```

Values from the calculation:
Fermi-level density of states: 1.45 states/eV/f.u.

=====

*x*
YTlF2: optimized geometry, PBE.

Cell and atoms, written as extended XYZ:
```
4
Lattice="1.9763 1.1410 7.5668 -1.9763 1.1410 7.5668 0.0000 -2.2820 7.5668" Properties=species:S:1:pos:R:3 pbc="T T T"
Y 0.0000 0.0000 0.0000
Tl 0.0000 0.0000 11.3502
F 0.0000 0.0000 2.1522
F 0.0000 0.0000 20.5481
```

Values from the calculation:
Fermi-level density of states: 0.59 states/eV/f.u.

=====

The data favor *w*; the next most stable structure lies 0.262 eV/atom above it.

=====

*w*
YTl2F: optimized geometry, PBE.

Cell and atoms, written as extended XYZ:
```
8
Lattice="-5.0470 5.0470 2.2078 5.0470 -5.0470 2.2078 5.0470 5.0470 -2.2078" Properties=species:S:1:pos:R:3 pbc="T T T"
Y 0.0000 0.0000 0.0000
Y 0.0000 5.0470 1.1039
Tl 2.5235 -1.4514 1.6559
Tl 3.5956 2.5235 0.5520
Tl 2.5235 6.4984 -0.5520
Tl 1.4514 2.5235 2.7598
F 5.0470 0.0000 1.1039
F 0.0000 0.0000 2.2078
```

Values from the calculation:
Fermi-level density of states: 3.12 states/eV/f.u.

=====

*x*
YTl2F: optimized geometry, PBE.

Cell and atoms, written as extended XYZ:
```
4
Lattice="0.0000 3.6645 3.6645 3.6645 0.0000 3.6645 3.6645 3.6645 0.0000" Properties=species:S:1:pos:R:3 pbc="T T T"
Y 0.0000 0.0000 0.0000
Tl 1.8322 1.8322 1.8322
Tl 5.4967 5.4967 5.4967
F 3.6645 3.6645 3.6645
```

Values from the calculation:
Fermi-level density of states: 1.79 states/eV/f.u.

=====

The data favor *w*; the next most stable structure lies 0.509 eV/atom above it.

=====

*w*
Tl2Zn2F5: optimized geometry, PBE.

Cell and atoms, written as extended XYZ:
```
9
Lattice="4.0928 0.0000 0.0000 0.0000 4.0928 0.0000 0.0000 0.0000 9.2659" Properties=species:S:1:pos:R:3 pbc="T T T"
Tl 0.0000 0.0000 0.0000
Tl 0.0000 0.0000 4.6330
Zn 2.0464 2.0464 2.1319
Zn 2.0464 2.0464 7.1340
F 0.0000 2.0464 2.2107
F 0.0000 2.0464 7.0553
F 2.0464 0.0000 2.2107
F 2.0464 0.0000 7.0553
F 2.0464 2.0464 0.0000
```

Values from the calculation:
Fermi-level density of states: 2.85 states/eV/f.u.

=====

*x*
Tl2Zn2F5: optimized geometry, PBE.

Cell and atoms, written as extended XYZ:
```
9
Lattice="6.2362 -1.8591 0.0000 6.2362 1.8591 0.0000 -0.2598 0.0000 7.5189" Properties=species:S:1:pos:R:3 pbc="T T T"
Tl 1.2815 0.0000 2.9062
Tl 10.9310 0.0000 4.6128
Zn 4.3786 0.0000 0.6531
Zn 7.8340 0.0000 6.8658
F 2.2005 0.0000 0.1119
F 3.9537 0.0000 2.5298
F 6.2362 0.0000 0.0000
F 8.2588 0.0000 4.9891
F 10.0120 0.0000 7.4070
```

Values from the calculation:
Fermi-level density of states: 1.57 states/eV/f.u.

=====

The data favor *x*; the next most stable structure lies 0.022 eV/atom above it.